A plane-wave DFT calculation with GGA-PBE was carried out for an optimized crystal structure of Ca2AcZn2Si2.

Unit cell a=4.2310 b=4.2310 c=12.2860 alpha=80.08 beta=80.08 gamma=60.00
Fractional positions:
Zn 0.6022 0.6022 0.1934
Zn 0.3978 0.3978 0.8066
Si 0.7302 0.7302 0.8095
Ac 0.0000 0.0000 0.0000
Ca 0.1201 0.1201 0.6397
Si 0.2698 0.2698 0.1905
Ca 0.8799 0.8799 0.3603

Properties
Calculated total energy ... -24.50 eV per formula unit
Crystal system ... trigonal
Spin magnetization ... 0.00 μB/f.u.

---

A plane-wave DFT calculation with GGA-PBE was carried out for an optimized crystal structure of Ca14AcSm.

Unit cell a=7.7828 b=7.7828 c=11.0242 alpha=90.00 beta=90.00 gamma=89.96
Each line ends with the local moment (μB).
Fractional positions:
Ca 0.1280 0.3780 0.7514  0.00
Ca 0.8750 0.1250 0.5000  0.00
Ca 0.1279 0.8721 0.7514  0.00
Sm 0.3751 0.6249 0.0000  0.18
Ca 0.6221 0.3779 0.2487  0.00
Ac 0.8746 0.1254 0.0000  -0.07
Ca 0.6220 0.8720 0.2486  0.00
Ca 0.3748 0.1250 0.0000  0.00
Ca 0.8750 0.6252 0.0000  0.00
Ca 0.6220 0.8720 0.7514  0.00
Ca 0.6221 0.3779 0.7513  0.00
Ca 0.3752 0.6248 0.5000  0.00
Ca 0.1279 0.8721 0.2486  0.00
Ca 0.3751 0.1248 0.5000  0.00
Ca 0.8752 0.6249 0.5000  0.00
Ca 0.1280 0.3780 0.2486  0.00

Properties
Crystal system ... orthorhombic
Spin magnetization ... 0.34 μB/f.u.
Energy of formation from the pure elements ... 0.84 eV per formula unit

---

A plane-wave DFT calculation with GGA-PBE was carried out for an optimized crystal structure of CaAc6Sm3.

Unit cell a=3.8398 b=13.8104 c=17.1755 alpha=114.10 beta=90.00 gamma=90.00
Fractional positions:
Ac 0.7500 0.3912 0.2023
Ca 0.2500 0.3733 0.9942
Ac 0.2500 0.1421 0.2045
Sm 0.2500 0.1088 0.5895
Ac 0.7500 0.1525 0.4096
Ac 0.7500 0.8579 0.7955
Sm 0.7500 0.8912 0.4105
Ac 0.2500 0.8475 0.5904
Ac 0.2500 0.8758 0.0036
Ac 0.7500 0.1242 0.9964
Sm 0.7500 0.9008 0.2007
Ca 0.7500 0.6267 0.0058
Sm 0.2500 0.0992 0.7993
Ac 0.2500 0.6088 0.7977
Ac 0.7500 0.3318 0.7794
Ac 0.2500 0.3662 0.5958
Sm 0.7500 0.5984 0.6000
Ac 0.2500 0.6682 0.2206
Ac 0.7500 0.6338 0.4042
Sm 0.2500 0.4016 0.4000

Properties
Crystal system ... monoclinic
Spin magnetization ... 0.00 μB/f.u.
Energy of formation from the pure elements ... 0.80 eV per formula unit

---

A plane-wave DFT calculation with GGA-PBE was carried out for an optimized crystal structure of CaAc8Sm4.

Unit cell a=11.9072 b=11.9072 c=8.4167 alpha=90.00 beta=135.02 gamma=120.00
Fractional positions:
Ac 0.9994 0.2398 0.2392
Sm 0.0000 0.0000 0.0000
Ac 0.4792 0.2396 0.7188
Ac 0.0006 0.7602 0.7608
Ac 0.5208 0.7604 0.2812
Ca 0.0000 0.5000 0.5000
Ac 0.4795 0.2398 0.2392
Sm 0.5000 0.5000 0.0000
Sm 0.5000 0.0000 0.0000
Ac 0.0006 0.2403 0.7608
Ac 0.9994 0.7597 0.2392
Sm 0.0000 0.5000 0.0000
Ac 0.5205 0.7602 0.7608

Properties
Crystal system ... trigonal
Spin magnetization ... 0.00 μB/f.u.
Energy of formation from the pure elements ... 5.26 eV per formula unit